The following is a DFT calculation (PBE) of a relaxed structure of BaY2AgS4.

* D(E_F): 0.16 states/eV/atom
* total DFT energy (no corrections): -190.64 eV for the cell shown
* ρ: 4.730 Mg/m³
* formation energy (no corrections): -13.4 eV per formula unit
* spin magnetization: 0.00 μB per formula unit

Geometry as CIF:
```
data_BaY2AgS4
_chemical_formula_sum 'Ba4 Y8 Ag4 S16'
_cell_length_a 4.101
_cell_length_b 13.547
_cell_length_c 13.932
_cell_angle_alpha 90.00
_cell_angle_beta 90.00
_cell_angle_gamma 90.00
_space_group_name_H-M_alt 'C m c m'
_space_group_IT_number 63
_space_group_name_Hall '-C 2c 2'
loop_
_atom_site_label
_atom_site_type_symbol
_atom_site_fract_x
_atom_site_fract_y
_atom_site_fract_z
_atom_site_occupancy
Ba1 Ba 0.000 0.125 0.250 1
Y1 Y 0.000 0.375 0.057 1
Ag1 Ag 0.000 0.149 0.750 1
S1 S 0.000 0.000 0.000 1
S2 S 0.000 0.266 0.608 1
S3 S 0.000 0.453 0.250 1
```